The following is a GGA-PBEsol calculation of a geometry-optimized AlFe2B2 structure, from Alexandria.

```
AlFe2B2
1.0
1.444 -5.507 0.000
1.444 5.507 0.000
0.000 0.000 2.774
Al Fe B
1 2 2
Direct
0.000 0.000 0.000
0.354 0.646 0.500
0.646 0.354 0.500
0.206 0.794 0.000
0.794 0.206 0.000
```

Properties
space group = Cmmm (65)
crystal system = orthorhombic
formation enthalpy at 0 K = -0.46 eV/atom
N(E_F) = 0.569 states/eV/atom

The following is a GGA-PBEsol calculation of a geometry-optimized LaMgNi structure, from Alexandria.

```
LaMgNi
1.0
-1.624 1.624 5.962
1.624 -1.624 5.962
1.624 1.624 -5.962
La Mg Ni
1 1 1
Direct
0.000 0.000 0.000
0.268 0.268 0.000
0.648 0.648 0.000
```

Properties
space group = I4mm (107)
crystal system = tetragonal
formation enthalpy at 0 K = -0.11 eV/atom
N(E_F) = 0.781 states/eV/atom

The following is a GGA-PBEsol calculation of a geometry-optimized BaLiIr2 structure, from Alexandria.

```
BaLiIr2
1.0
1.561 -2.457 0.000
1.561 2.457 0.000
0.000 0.000 9.279
Ba Li Ir
1 1 2
Direct
0.000 0.000 0.000
0.000 0.000 0.500
0.500 0.500 0.280
0.500 0.500 0.720
```

Properties
energy relative to the lowest polymorph listed for this composition = 0.762 eV per atom
space group = Cmmm (65)
crystal system = orthorhombic
formation enthalpy at 0 K = 0.65 eV/atom
N(E_F) = 0.770 states/eV/atom

The following is a GGA-PBEsol calculation of a geometry-optimized HfCuAg2Br structure, from Alexandria.

```
HfCuAg2Br
1.0
4.845 0.000 0.000
0.000 4.845 0.000
0.000 0.000 4.876
Hf Cu Ag Br
1 1 2 1
Direct
0.000 0.000 0.000
0.500 0.500 0.000
0.000 0.500 0.500
0.500 0.000 0.500
0.000 0.000 0.500
```

Properties
space group = P4/mmm (123)
crystal system = tetragonal
energy relative to the elements, uncorrected = 1144.9 meV/atom
N(E_F) = 0.630 states/eV/atom

The following is a GGA-PBEsol calculation of a geometry-optimized ZrBe structure, from Alexandria.

```
ZrBe
1.0
0.000 2.773 2.773
2.773 0.000 2.773
2.773 2.773 0.000
Zr Be
1 1
Direct
0.000 0.000 0.000
0.750 0.750 0.750
```

Properties
space group = F-43m (216)
crystal system = cubic
formation enthalpy at 0 K = 1.48 eV/atom
N(E_F) = 1.630 states/eV/atom

The following is a GGA-PBEsol calculation of a geometry-optimized InRe2W structure, from Alexandria.

```
InRe2W
1.0
1.427 0.824 9.129
-1.427 0.824 9.129
0.000 -1.648 9.129
In Re W
1 2 1
Direct
0.000 0.000 0.000
0.245 0.245 0.245
0.755 0.755 0.755
0.500 0.500 0.500
```

Properties
space group = R-3m (166)
crystal system = trigonal
formation enthalpy at 0 K = 0.37 eV/atom
N(E_F) = 0.660 states/eV/atom

The following is a GGA-PBEsol calculation of a geometry-optimized InCoMo2 structure, from Alexandria.

```
InCoMo2
1.0
-1.966 1.966 3.881
1.966 -1.966 3.881
1.966 1.966 -3.881
In Co Mo
1 1 2
Direct
0.000 0.000 0.000
0.250 0.750 0.500
0.500 0.500 0.000
0.750 0.250 0.500
```

Properties
space group = I-4m2 (119)
crystal system = tetragonal
formation enthalpy at 0 K = 0.34 eV/atom
N(E_F) = 1.007 states/eV/atom

The following is a GGA-PBEsol calculation of a geometry-optimized Cu2PAu structure, from Alexandria.

```
Cu2PAu
1.0
-1.862 1.862 3.892
1.862 -1.862 3.892
1.862 1.862 -3.892
Cu P Au
2 1 1
Direct
0.000 0.000 0.000
0.750 0.250 0.500
0.500 0.500 0.000
0.250 0.750 0.500
```

Properties
space group = I-4m2 (119)
crystal system = tetragonal
formation enthalpy at 0 K = 0.13 eV/atom
N(E_F) = 0.384 states/eV/atom

The following is a GGA-PBEsol calculation of a geometry-optimized AlW2Cl2 structure, from Alexandria.

```
AlW2Cl2
1.0
-1.890 1.890 6.005
1.890 -1.890 6.005
1.890 1.890 -6.005
Al W Cl
1 2 2
Direct
0.000 0.000 0.000
0.398 0.398 0.000
0.602 0.602 0.000
0.250 0.750 0.500
0.750 0.250 0.500
```

Properties
space group = I4/mmm (139)
crystal system = tetragonal
energy relative to the elements, uncorrected = 692.6 meV/atom
N(E_F) = 0.737 states/eV/atom

The following is a GGA-PBEsol calculation of a geometry-optimized YCd2 structure, from Alexandria.

```
YCd2
1.0
-1.680 1.680 6.115
1.680 -1.680 6.115
1.680 1.680 -6.115
Y Cd
1 2
Direct
0.000 0.000 0.000
0.325 0.325 0.000
0.675 0.675 0.000
```

Properties
space group = I4/mmm (139)
crystal system = tetragonal
formation enthalpy at 0 K = -0.28 eV/atom
N(E_F) = 0.681 states/eV/atom

The following is a GGA-PBEsol calculation of a geometry-optimized Tm2O3 structure, from Alexandria.

```
Tm2O3
1.0
6.818 -1.698 0.000
6.818 1.698 0.000
-1.474 0.000 8.272
Tm O
6 9
Direct
0.033 0.033 0.313
0.309 0.309 0.363
0.365 0.365 0.014
0.635 0.635 0.986
0.691 0.691 0.637
0.967 0.967 0.687
0.128 0.128 0.782
0.175 0.175 0.469
0.207 0.207 0.123
0.471 0.471 0.844
0.500 0.500 0.500
0.529 0.529 0.156
0.793 0.793 0.877
0.825 0.825 0.531
0.872 0.872 0.218
```

Properties
space group = C2/m (12)
crystal system = monoclinic
energy relative to the elements, uncorrected = -3691.9 meV/atom
N(E_F) = 0.000 states/eV/atom

The following is a GGA-PBEsol calculation of a geometry-optimized NbMoOs2Pt structure, from Alexandria.

```
NbMoOs2Pt
1.0
4.560 0.000 0.000
0.000 4.560 0.000
0.000 0.000 4.711
Nb Mo Os Pt
1 1 2 1
Direct
0.000 0.000 0.000
0.500 0.500 0.500
0.000 0.500 0.500
0.500 0.000 0.500
0.500 0.500 0.000
```

Properties
space group = P4/mmm (123)
crystal system = tetragonal
formation enthalpy at 0 K = 1.88 eV/atom
N(E_F) = 1.193 states/eV/atom

Question: What is the N(E_F) in the third record?
Answer: 0.770 states/eV/atom

Question: What is the formula in the second record?
Answer: LaMgNi

Question: Which value of N(E_F) does entry 7 give?
Answer: 1.007 states/eV/atom